(1)
First-principles (PBE with a Hubbard U) data for a geometry-optimized LiPmMnF6 structure, as listed in Alexandria.

Fermi-level density of states: 0.0 states/eV/f.u.
Total DFT energy (no corrections): -110.063 eV/cell

Cell lengths 5.5342, 5.5342, 9.3308 Å; angles 90.00, 90.00, 120.00 degrees
Sites, in units of the cell vectors:
Li 0.3333 0.6667 0.2500
Li 0.6667 0.3333 0.7500
Pm 0.3333 0.6667 0.7500
Pm 0.6667 0.3333 0.2500
Mn 0.0000 0.0000 0.0000
Mn 0.0000 0.0000 0.5000
F 0.0261 0.3392 0.1279
F 0.0261 0.6868 0.3721
F 0.3132 0.3392 0.3721
F 0.3132 0.9739 0.1279
F 0.3392 0.0261 0.6279
F 0.3392 0.3132 0.8721
F 0.6608 0.6868 0.1279
F 0.6608 0.9739 0.3721
F 0.6868 0.0261 0.8721
F 0.6868 0.6608 0.6279
F 0.9739 0.3132 0.6279
F 0.9739 0.6608 0.8721

***

(2)
First-principles (PBE with a Hubbard U) data for a geometry-optimized LiPuMnF6 structure, as listed in Alexandria.

Fermi-level density of states: 6.4 states/eV/f.u.
Total DFT energy (no corrections): -125.424 eV/cell

Cell lengths 5.5776, 5.5776, 9.2587 Å; angles 90.00, 90.00, 120.00 degrees
Sites, in units of the cell vectors:
Li 0.3333 0.6667 0.2500
Li 0.6667 0.3333 0.7500
Pu 0.3333 0.6667 0.7500
Pu 0.6667 0.3333 0.2500
Mn 0.0000 0.0000 0.0000
Mn 0.0000 0.0000 0.5000
F 0.0295 0.3390 0.1277
F 0.0295 0.6905 0.3723
F 0.3095 0.3390 0.3723
F 0.3095 0.9705 0.1277
F 0.3390 0.0295 0.6277
F 0.3390 0.3095 0.8723
F 0.6610 0.6905 0.1277
F 0.6610 0.9705 0.3723
F 0.6905 0.0295 0.8723
F 0.6905 0.6610 0.6277
F 0.9705 0.3095 0.6277
F 0.9705 0.6610 0.8723

***

(3)
First-principles (PBE with a Hubbard U) data for a geometry-optimized Rb4LiMn3F12 structure, as listed in Alexandria.

Fermi-level density of states: 6.0 states/eV/f.u.
Total DFT energy (no corrections): -105.508 eV/cell

Cell lengths 7.3532, 7.3532, 7.3532 Å; angles 109.47, 109.47, 109.47 degrees
Sites, in units of the cell vectors:
Rb 0.0000 0.0000 0.5000
Rb 0.0000 0.5000 0.0000
Rb 0.5000 0.0000 0.0000
Rb 0.5000 0.5000 0.5000
Li 0.0000 0.0000 0.0000
Mn 0.0000 0.5000 0.5000
Mn 0.5000 0.0000 0.5000
Mn 0.5000 0.5000 0.0000
F 0.0000 0.2618 0.2618
F 0.0000 0.7382 0.7382
F 0.2500 0.5000 0.7500
F 0.2500 0.7500 0.5000
F 0.2618 0.0000 0.2618
F 0.2618 0.2618 0.0000
F 0.5000 0.2500 0.7500
F 0.5000 0.7500 0.2500
F 0.7382 0.0000 0.7382
F 0.7382 0.7382 0.0000
F 0.7500 0.2500 0.5000
F 0.7500 0.5000 0.2500

***

(4)
First-principles (PBE with a Hubbard U) data for a geometry-optimized RbLiMnF6 structure, as listed in Alexandria.

Fermi-level density of states: 0.0 states/eV/f.u.
Total DFT energy (no corrections): -44.965 eV/cell

Cell lengths 5.2434, 5.2434, 6.1014 Å; angles 90.04, 90.04, 120.06 degrees
Sites, in units of the cell vectors:
Rb 0.0000 0.0000 0.0000
Li 0.6664 0.3336 0.5000
Mn 0.3332 0.6668 0.5000
F 0.0313 0.3908 0.3269
F 0.0320 0.6409 0.6732
F 0.3595 0.3920 0.6734
F 0.3591 0.9680 0.3268
F 0.6080 0.6405 0.3266
F 0.6092 0.9687 0.6731

***

(5)
First-principles (PBE with a Hubbard U) data for a geometry-optimized Rb3Li2MnF9 structure, as listed in Alexandria.

Fermi-level density of states: 0.0 states/eV/f.u.
Total DFT energy (no corrections): -71.376 eV/cell

Cell lengths 6.0071, 6.0071, 7.6392 Å; angles 90.00, 90.00, 120.00 degrees
Sites, in units of the cell vectors:
Rb 0.0000 0.0000 0.0000
Rb 0.3333 0.6667 0.6831
Rb 0.6667 0.3333 0.3169
Li 0.3333 0.6667 0.0851
Li 0.6667 0.3333 0.9149
Mn 0.0000 0.0000 0.5000
F 0.0000 0.5000 0.0000
F 0.1455 0.2910 0.3605
F 0.1455 0.8545 0.3605
F 0.2910 0.1455 0.6395
F 0.5000 0.0000 0.0000
F 0.5000 0.5000 0.0000
F 0.7090 0.8545 0.3605
F 0.8545 0.1455 0.6395
F 0.8545 0.7090 0.6395

***

(6)
First-principles (PBE with a Hubbard U) data for a geometry-optimized RbLiMn2F8 structure, as listed in Alexandria.

Total DFT energy (no corrections): -62.501 eV/cell

Cell lengths 5.3535, 5.3535, 6.9132 Å; angles 90.00, 90.00, 120.00 degrees
Sites, in units of the cell vectors:
Rb 0.0000 0.0000 0.0000
Li 0.0000 0.0000 0.5000
Mn 0.3333 0.6667 0.6023
Mn 0.6667 0.3333 0.3977
F 0.0518 0.6934 0.3680
F 0.3066 0.3584 0.3680
F 0.3333 0.6667 0.8646
F 0.3584 0.0518 0.6320
F 0.6416 0.9482 0.3680
F 0.6667 0.3333 0.1354
F 0.6934 0.6416 0.6320
F 0.9482 0.3066 0.6320

***

(7)
First-principles (PBE with a Hubbard U) data for a geometry-optimized LiMnRhF6 structure, as listed in Alexandria.

Total DFT energy (no corrections): -96.459 eV/cell

Cell lengths 4.8208, 4.8208, 9.5939 Å; angles 90.00, 90.00, 90.00 degrees
Sites, in units of the cell vectors:
Li 0.0000 0.0000 0.0000
Li 0.5000 0.5000 0.5000
Mn 0.0000 0.0000 0.3302
Mn 0.5000 0.5000 0.8302
Rh 0.0000 0.0000 0.6661
Rh 0.5000 0.5000 0.1661
F 0.1893 0.1893 0.8281
F 0.1944 0.1944 0.5068
F 0.2036 0.2036 0.1631
F 0.2964 0.7036 0.6631
F 0.3056 0.6944 0.0068
F 0.3107 0.6893 0.3281
F 0.6893 0.3107 0.3281
F 0.6944 0.3056 0.0068
F 0.7036 0.2964 0.6631
F 0.7964 0.7964 0.1631
F 0.8056 0.8056 0.5068
F 0.8107 0.8107 0.8281

***

(8)
First-principles (PBE with a Hubbard U) data for a geometry-optimized LiMnSb2F structure, as listed in Alexandria.

Fermi-level density of states: 1.3 states/eV/f.u.
Total DFT energy (no corrections): -19.134 eV/cell

Cell lengths 5.0077, 5.0077, 5.5363 Å; angles 90.00, 90.00, 90.00 degrees
Sites, in units of the cell vectors:
Li 0.0000 0.0000 0.0000
Mn 0.0000 0.0000 0.5000
Sb 0.0000 0.5000 0.5000
Sb 0.5000 0.0000 0.5000
F 0.5000 0.5000 0.0000